1.
# Sc3Tl4CuTe8

A relaxed structure of Sc3Tl4CuTe8 (GGA-PBE, the Alexandria database).

Summary:
For the density of states at the Fermi level, the calculation gives 0.60 states/eV/atom. The value obtained for the uncorrected formation energy is -672 meV/atom. For the mass density, the calculation gives 6.81 g cm⁻³.

The structure in POSCAR format:
```
Sc3Tl4CuTe8
1.0
8.505 0.000 0.000
0.000 9.302 0.547
-4.253 -4.249 6.024
Sc Te Tl Cu
3 8 4 1
Cartesian
-2.126 2.527 3.286
2.126 2.527 3.286
4.253 4.651 0.274
2.180 2.371 6.221
0.000 0.479 3.345
0.000 4.548 3.144
-2.180 2.371 6.221
2.073 2.683 0.351
4.253 0.505 3.428
4.253 4.575 3.227
6.433 2.683 0.351
2.126 -2.124 3.012
0.000 0.000 0.000
-2.126 -2.124 3.012
4.253 0.000 0.000
0.000 4.651 0.274
```

***

2.
# Pa3Al2Ge3

A relaxed structure of Pa3Al2Ge3 (GGA-PBE, the Alexandria database).

Summary:
For the density of states at the Fermi level, the calculation gives 1.35 states/eV/atom. The calculation puts the energy of formation from the pure elements at -0.2724 eV/atom. For the mass density, the calculation gives 9.52 g cm⁻³.

The structure in POSCAR format:
```
Pa3Al2Ge3
1.0
-3.628 1.727 0.990
-2.012 -3.050 -2.053
2.525 -4.623 8.672
Al Ge Pa
2 3 3
Cartesian
-1.153 -4.157 3.028
-1.962 -1.788 4.580
-0.076 -1.366 2.105
-1.006 -1.525 -1.026
-3.039 -4.579 5.504
-2.895 -2.002 1.534
-0.220 -3.943 6.075
-1.814 0.864 0.495
```

***

3.
# PaNbMo

A relaxed structure of PaNbMo (GGA-PBE, the Alexandria database).

Summary:
For the density of states at the Fermi level, the calculation gives 0.89 states/eV/atom. For the energy above the most stable polymorph in this dataset, the calculation gives 34 meV per atom. The calculation puts the energy of formation from the pure elements at 0.0989 eV/atom. For the mass density, the calculation gives 11.62 g cm⁻³.

The structure in POSCAR format:
```
PaNbMo
1.0
3.380 0.000 0.000
0.000 3.380 0.000
-1.690 -1.690 5.254
Nb Pa Mo
1 1 1
Cartesian
0.000 0.000 3.361
0.000 0.000 0.077
1.690 1.690 1.815
```

***

4.
# LiSb4Ir

A relaxed structure of LiSb4Ir (GGA-PBE, the Alexandria database).

Summary:
For the density of states at the Fermi level, the calculation gives 1.28 states/eV/atom. The value obtained for the uncorrected formation energy is 723 meV/atom. For the mass density, the calculation gives 7.22 g cm⁻³.

The structure in POSCAR format:
```
LiSb4Ir
1.0
4.197 -4.009 -1.757
-1.659 -5.024 -2.964
1.321 -0.624 -5.886
Sb Ir Li
4 1 1
Cartesian
3.545 -5.626 -4.856
0.619 -6.133 -5.459
1.448 -3.622 -3.978
2.108 -3.934 -6.919
2.895 -7.243 -7.955
0.000 0.000 0.000
```

***

5.
# Pu2PaZn

A relaxed structure of Pu2PaZn (GGA-PBE, the Alexandria database).

Summary:
For the density of states at the Fermi level, the calculation gives 2.41 states/eV/atom. For the energy above the most stable polymorph in this dataset, the calculation gives 40 meV per atom. The calculation puts the energy of formation from the pure elements at 0.0927 eV/atom. For the mass density, the calculation gives 14.24 g cm⁻³.

The structure in POSCAR format:
```
Pu2PaZn
1.0
4.642 0.000 0.000
0.000 4.440 0.000
0.000 0.000 4.440
Pu Zn Pa
2 1 1
Cartesian
0.000 2.220 0.000
0.000 0.000 2.220
2.321 2.220 2.220
2.321 0.000 0.000
```

***

6.
# LuMgBi2

A relaxed structure of LuMgBi2 (GGA-PBE, the Alexandria database).

Summary:
For the density of states at the Fermi level, the calculation gives 0.71 states/eV/atom. For the energy above the most stable polymorph in this dataset, the calculation gives 0 meV per atom. The calculation puts the energy of formation from the pure elements at -0.3306 eV/atom. For the mass density, the calculation gives 8.58 g cm⁻³.

The structure in POSCAR format:
```
LuMgBi2
1.0
4.381 0.000 0.000
2.191 3.794 0.000
2.191 1.265 7.189
Mg Bi Lu
1 2 1
Cartesian
0.000 0.000 0.000
6.572 3.794 5.441
2.191 1.265 1.748
4.381 2.529 3.594
```

***

7.
# La3SiGe6Pt2

A relaxed structure of La3SiGe6Pt2 (GGA-PBE, the Alexandria database).

Summary:
For the density of states at the Fermi level, the calculation gives 0.64 states/eV/atom. The value obtained for the uncorrected formation energy is -370 meV/atom. For the mass density, the calculation gives 7.90 g cm⁻³.

The structure in POSCAR format:
```
La3SiGe6Pt2
1.0
6.124 0.000 0.000
-3.062 5.303 0.000
0.000 0.000 8.224
Ge La Pt Si
6 3 2 1
Cartesian
3.062 3.295 5.830
0.000 2.008 2.393
4.385 1.004 5.830
1.323 4.299 2.393
1.739 1.004 5.830
-1.323 4.299 2.393
0.000 3.535 5.322
3.062 1.768 2.902
0.000 0.000 0.000
0.000 3.535 0.254
3.062 1.768 7.970
0.000 0.000 4.112
```

***

8.
# LaGdCdGe

A relaxed structure of LaGdCdGe (GGA-PBE, the Alexandria database).

Summary:
For the density of states at the Fermi level, the calculation gives 0.89 states/eV/atom. The calculation puts the energy of formation from the pure elements at -0.5053 eV/atom. For the mass density, the calculation gives 7.55 g cm⁻³.

The structure in POSCAR format:
```
LaGdCdGe
1.0
5.309 0.000 0.000
2.654 4.598 0.000
2.654 1.533 4.335
Gd Ge Cd La
1 1 1 1
Cartesian
7.963 4.598 3.251
0.000 0.000 0.000
5.309 3.065 2.167
2.654 1.533 1.084
```